! Ba4CoO5 | Alexandria | PBE with a Hubbard U | optimized geometry; values from VASP
&SYSTEM
  ibrav = 0, nat = 10, ntyp = 3
/
ATOMIC_SPECIES
Ba 137.33 Ba.upf
O 16.00 O.upf
Co 58.93 Co.upf
CELL_PARAMETERS angstrom
3.660 0.000 1.268
1.830 7.435 0.634
-0.604 0.000 7.659
ATOMIC_POSITIONS crystal
Ba 0.261 0.327 0.150
Ba 0.737 0.673 0.850
Ba 0.411 0.850 0.327
Ba 0.587 0.150 0.673
O 0.092 0.692 0.122
O 0.499 0.000 0.000
O 0.784 0.122 0.308
O 0.906 0.308 0.878
O 0.214 0.878 0.692
Co 0.999 0.000 0.000
! Symmetry ... I4/m
! ΔE to the lowest computed polymorph ... 0.000 eV per atom